A plane-wave DFT calculation with PBE was carried out for crystalline GdYFeAg at its relaxed geometry.

The structure in POSCAR format:
```
GdYFeAg
1.0
7.0890 0.0000 0.0000
0.0000 7.0890 0.0000
0.0000 0.0000 7.0890
Gd Y Fe Ag
4 4 4 4
Direct
0.0000 0.0000 0.0000 Gd
0.0000 0.5000 0.5000 Gd
0.5000 0.0000 0.5000 Gd
0.5000 0.5000 0.0000 Gd
0.0000 0.0000 0.5000 Y
0.0000 0.5000 0.0000 Y
0.5000 0.0000 0.0000 Y
0.5000 0.5000 0.5000 Y
0.2500 0.2500 0.2500 Fe
0.2500 0.7500 0.7500 Fe
0.7500 0.2500 0.7500 Fe
0.7500 0.7500 0.2500 Fe
0.2500 0.2500 0.7500 Ag
0.2500 0.7500 0.2500 Ag
0.7500 0.2500 0.2500 Ag
0.7500 0.7500 0.7500 Ag
```

Results
Calculated density, g cm⁻³: 7.642
Uncorrected energy, eV per atom: -7.97
Energy of formation from the pure elements, eV/atom: -0.01
SG: No. 216

***

A plane-wave DFT calculation with PBE was carried out for crystalline FeAg3Ge at its relaxed geometry.

The structure in POSCAR format:
```
FeAg3Ge
1.0
4.8447 0.0000 0.0000
0.0000 4.8447 0.0000
0.0000 0.0000 4.8447
Fe Ag Ge
1 3 1
Direct
0.0000 0.0000 0.0000 Fe
0.0000 0.0000 0.5000 Ag
0.0000 0.5000 0.0000 Ag
0.5000 0.0000 0.0000 Ag
0.5000 0.5000 0.5000 Ge
```

Results
Calculated density, g cm⁻³: 6.602
Energy relative to the lowest polymorph listed for this composition, meV per atom: 78
Uncorrected energy, eV per atom: -3.32
Energy of formation from the pure elements, eV/atom: 1.00
SG: No. 221